# TbPr3Ni8 | the Alexandria database | GGA-PBE | optimized geometry
# Uncorrected energy = -5.7491 eV/atom
data_TbPr3Ni8
_chemical_formula_sum 'Tb3 Pr9 Ni24'
_symmetry_space_group_name_H-M 'R 3 m'
_symmetry_Int_Tables_number 160
_symmetry_space_group_name_Hall 'R 3 -2"'
_cell_length_a 5.1670
_cell_length_b 5.1670
_cell_length_c 25.3758
_cell_angle_alpha 90.00
_cell_angle_beta 90.00
_cell_angle_gamma 120.00
loop_
_atom_site_label
_atom_site_fract_x
_atom_site_fract_y
_atom_site_fract_z
Tb1 0.0000 0.0000 0.0000
Pr1 0.0000 0.0000 0.1245
Pr2 0.0000 0.0000 0.5004
Pr3 0.0000 0.0000 0.6257
Ni1 0.0000 0.0000 0.3131
Ni2 0.0000 0.0000 0.8126
Ni3 0.9999 0.5000 0.0614
Ni4 0.0025 0.5013 0.5638



# Pr6TlTc2 | the Alexandria database | GGA-PBE | optimized geometry
# Uncorrected energy = -5.8038 eV/atom
data_Pr6TlTc2
_chemical_formula_sum 'Pr24 Tl4 Tc8'
_symmetry_space_group_name_H-M 'I m m m'
_symmetry_Int_Tables_number 71
_symmetry_space_group_name_Hall '-I 2 2'
_cell_length_a 9.935
_cell_length_b 10.199
_cell_length_c 10.714
_cell_angle_alpha 90.00
_cell_angle_beta 90.00
_cell_angle_gamma 90.00
loop_
_atom_site_label
_atom_site_fract_x
_atom_site_fract_y
_atom_site_fract_z
Pr1 0.000 0.217 0.227
Pr2 0.209 0.500 0.187
Pr3 0.213 0.308 0.500
Tl1 0.000 0.000 0.000
Tl2 0.000 0.000 0.500
Tc1 0.000 0.384 0.000
Tc2 0.000 0.500 0.390



# TlTe2S4 | the Alexandria database | GGA-PBE | optimized geometry
# ΔE_f (raw) = 0.018 eV per atom
data_TlTe2S4
_chemical_formula_sum 'Tl4 Te8 S16'
_symmetry_space_group_name_H-M 'C 1 2 1'
_symmetry_Int_Tables_number 5
_cell_length_a 11.381
_cell_length_b 9.276
_cell_length_c 10.271
_cell_angle_alpha 90.00
_cell_angle_beta 121.89
_cell_angle_gamma 90.00
loop_
_symmetry_equiv_pos_as_xyz
'x,y,z'
'-x,y,-z'
'x+1/2,y+1/2,z'
'-x+1/2,y+1/2,-z'
loop_
_atom_site_label
_atom_site_fract_x
_atom_site_fract_y
_atom_site_fract_z
Tl1 0.000 0.000 0.000
Tl2 0.000 0.302 0.500
Te1 0.052 0.603 0.846
Te2 0.230 0.788 0.667
S1 0.026 0.299 0.199
S2 0.158 0.662 0.184
S3 0.173 0.844 0.866
S4 0.217 0.535 0.662



# Mn8Si8Mo3 | the Alexandria database | GGA-PBE | optimized geometry
# ΔE_f (raw) = -0.423 eV per atom
data_Mn8Si8Mo3
_chemical_formula_sum 'Mn32 Si32 Mo12'
_symmetry_space_group_name_H-M 'P n m a'
_symmetry_Int_Tables_number 62
_cell_length_a 12.746
_cell_length_b 4.834
_cell_length_c 15.248
_cell_angle_alpha 90.00
_cell_angle_beta 90.00
_cell_angle_gamma 90.00
loop_
_symmetry_equiv_pos_as_xyz
'x,y,z'
'-x,-y,-z'
'-x+1/2,-y,z+1/2'
'x+1/2,y,-z+1/2'
'x+1/2,-y+1/2,-z+1/2'
'-x+1/2,y+1/2,z+1/2'
'-x,y+1/2,-z'
'x,-y+1/2,z'
loop_
_atom_site_label
_atom_site_fract_x
_atom_site_fract_y
_atom_site_fract_z
Mn1 0.048 0.250 0.094
Mn2 0.060 0.505 0.378
Mn3 0.123 0.750 0.995
Mn4 0.134 0.513 0.827
Mn5 0.136 0.750 0.657
Mn6 0.189 0.250 0.249
Si1 0.006 0.250 0.247
Si2 0.050 0.250 0.940
Si3 0.052 0.750 0.518
Si4 0.090 0.250 0.699
Si5 0.210 0.750 0.305
Si6 0.214 0.502 0.118
Si7 0.225 0.250 0.398
Mo1 0.067 0.750 0.197
Mo2 0.135 0.250 0.543
Mo3 0.249 0.750 0.471



Number 1: magnetization 0.00 μB/atom. Number 2: magnetization 0.00 μB/atom. Number 3: magnetization 0.00 μB/atom. Number 4: magnetization 0.41 μB/atom.